A relaxed structure of RbTeAsO6. Source: Alexandria via LeMat-Bulk, functional PBE-GGA.

## Properties
Crystal system: trigonal
Energy, eV/atom: -5.568
Formation energy without anion corrections, eV per atom: -1.289

```
data_RbTeAsO6
_cell_length_a 5.1036
_cell_length_b 5.1036
_cell_length_c 6.4973
_cell_angle_alpha 90.00
_cell_angle_beta 90.00
_cell_angle_gamma 120.00
_symmetry_space_group_name_H-M 'P 1'
_symmetry_Int_Tables_number 1
loop_
_symmetry_equiv_pos_as_xyz
'x,y,z'
loop_
_atom_site_label
_atom_site_type_symbol
_atom_site_fract_x
_atom_site_fract_y
_atom_site_fract_z
Rb1 Rb 0.0000 0.0000 0.0000
Te1 Te 0.6667 0.3333 0.5000
As1 As 0.3333 0.6667 0.5000
O1 O 0.0124 0.3911 0.6679
O2 O 0.0124 0.6213 0.3321
O3 O 0.3787 0.3911 0.3321
O4 O 0.3787 0.9876 0.6679
O5 O 0.6089 0.6213 0.6679
O6 O 0.6089 0.9876 0.3321
```